Entry 1:
The following is a DFT calculation (PBE) of an optimized crystal structure of Sr3ThIn4.

Results
Symmetry: P4/mmm

Unit cell a=3.9582 b=3.9582 c=16.4598 alpha=90.00 beta=90.00 gamma=90.00
Closest atoms and distances in Å follow each position.
Fractional coordinates of all 8 atoms:
Sr: 0.5000 0.5000 0.5000  8 In 3.51
Sr: 0.5000 0.5000 0.2471  8 In 3.47-3.52
Sr: 0.5000 0.5000 0.7529  8 In 3.47-3.52
In: 0.0000 0.0000 0.1179  4 Th 3.41, 4 Sr 3.52
In: 0.0000 0.0000 0.6283  8 Sr 3.47-3.51
In: 0.0000 0.0000 0.8821  4 Th 3.41, 4 Sr 3.52
In: 0.0000 0.0000 0.3717  8 Sr 3.47-3.51
Th: 0.5000 0.5000 0.0000  8 In 3.41



Entry 2:
The following is a DFT calculation (PBE) of an optimized crystal structure of Sr4ThIn5.

Results
Symmetry: P4/mmm

Unit cell a=3.9927 b=3.9927 c=20.4153 alpha=90.00 beta=90.00 gamma=90.00
Closest atoms and distances in Å follow each position.
Fractional coordinates of all 10 atoms:
In: 0.5000 0.5000 0.5000  8 Sr 3.50
In: 0.5000 0.5000 0.2970  8 Sr 3.49-3.50
In: 0.5000 0.5000 0.7030  8 Sr 3.49-3.50
In: 0.5000 0.5000 0.0932  4 Th 3.40, 4 Sr 3.52, 1 In 3.80
In: 0.5000 0.5000 0.9068  4 Th 3.40, 4 Sr 3.52, 1 In 3.80
Th: 0.0000 0.0000 0.0000  8 In 3.40
Sr: 0.0000 0.0000 0.1965  8 In 3.49-3.52
Sr: 0.0000 0.0000 0.3985  8 In 3.50
Sr: 0.0000 0.0000 0.6015  8 In 3.50
Sr: 0.0000 0.0000 0.8035  8 In 3.49-3.52



Taking the records one at a time from the top gives DFT formation energy values of -2.84 -3.66 eV per formula unit.